Material: YInCl
Method: DFT, PBE-GGA
State: optimized geometry

The structure in POSCAR format:
```
YInCl
1.0
0.000 3.434 3.434
3.434 0.000 3.434
3.434 3.434 0.000
Y In Cl
1 1 1
direct
0.000 0.000 0.000
0.500 0.500 0.500
0.250 0.250 0.250
```

Summary:
distance to the lowest polymorph of the same formula: 54.4 kJ/mol of atoms
space-group type: No. 216
energy relative to the elements, uncorrected: -0.3747 eV per atom
volume: 27.0 Å³/atom